Density functional theory data (GGA-PBE) for an optimized crystal structure of Pr2TlCl.

a b c (Å): 3.5971 3.5971 8.4125
angles (deg): 90.00 90.00 90.00
Space group P4/mmm (No. 123)
Unique sites:
Pr (0.0000, 0.0000, 0.2452) (multiplicity 2)
Tl (0.5000, 0.5000, 0.5000) (multiplicity 1)
Cl (0.5000, 0.5000, 0.0000) (multiplicity 1)

Output
The formation energy without anion corrections comes out at -832 meV/atom. For the excess energy over the best structure of this formula in the dataset, the calculation gives 29 meV per atom.

***

Density functional theory data (GGA-PBE) for an optimized crystal structure of Be2AuBr.

a b c (Å): 3.3054 3.3683 6.5566
angles (deg): 90.00 90.00 90.00
Space group Pmmm (No. 47)
Unique sites:
Be (0.0000, 0.0000, 0.0000) (multiplicity 1)
Be (0.0000, 0.5000, 0.5000) (multiplicity 1)
Au (0.5000, 0.0000, 0.5000) (multiplicity 1)
Br (0.5000, 0.5000, 0.0000) (multiplicity 1)

Output
The formation energy without anion corrections comes out at 414 meV/atom. For the excess energy over the best structure of this formula in the dataset, the calculation gives 560 meV per atom.

***

Density functional theory data (GGA-PBE) for an optimized crystal structure of K3CaSe.

a b c (Å): 6.4303 6.4303 6.4303
angles (deg): 90.00 90.00 90.00
Space group Pm-3m (No. 221)
Unique sites:
K (0.0000, 0.0000, 0.5000) (multiplicity 3)
Ca (0.5000, 0.5000, 0.5000) (multiplicity 1)
Se (0.0000, 0.0000, 0.0000) (multiplicity 1)

Output
The formation energy without anion corrections comes out at -374 meV/atom. For the excess energy over the best structure of this formula in the dataset, the calculation gives 0 meV per atom.

***

Density functional theory data (GGA-PBE) for an optimized crystal structure of La2ErTm2Hg5.

a b c (Å): 11.9744 11.9744 3.9084
angles (deg): 90.00 90.00 90.00
Space group P4/mbm (No. 127)
Unique sites:
La (0.1715, 0.3285, 0.0000) (multiplicity 4)
Er (0.0000, 0.0000, 0.0000) (multiplicity 2)
Tm (0.1311, 0.6311, 0.0000) (multiplicity 4)
Hg (0.0000, 0.5000, 0.5000) (multiplicity 2)
Hg (0.0861, 0.8209, 0.5000) (multiplicity 8)

Output
The formation energy is -0.360 eV per atom.

***

Number 1: magnetic moment 0.00 μB/f.u.. Number 2: magnetic moment 0.00 μB/f.u.. Number 3: magnetic moment 0.00 μB/f.u.. Number 4: magnetic moment 0.75 μB/f.u..